Material: SmTl2In
Method: DFT, PBE
State: optimized geometry

**E_form**: -0.3385 eV/atom

The structure in CIF format:
```
data_SmTl2In
_symmetry_space_group_name_H-M 'P 4/m m m'
_symmetry_Int_Tables_number 123
_symmetry_space_group_name_Hall '-P 4 2'
_cell_length_a 4.7822
_cell_length_b 4.7822
_cell_length_c 4.7468
_cell_angle_alpha 90.00
_cell_angle_beta 90.00
_cell_angle_gamma 90.00
loop_
_atom_site_label
_atom_site_type_symbol
_atom_site_fract_x
_atom_site_fract_y
_atom_site_fract_z
_atom_site_occupancy
Sm1 Sm 0.0000 0.0000 0.0000 1
Tl1 Tl 0.0000 0.5000 0.5000 1
In1 In 0.5000 0.5000 0.0000 1
```

=====

Material: Sm2Tl5In
Method: DFT, PBE
State: optimized geometry

**E_form**: -0.3068 eV/atom

The structure in CIF format:
```
data_Sm2Tl5In
_symmetry_space_group_name_H-M 'P b a m'
_symmetry_Int_Tables_number 55
_cell_length_a 6.7724
_cell_length_b 13.5515
_cell_length_c 4.7710
_cell_angle_alpha 90.00
_cell_angle_beta 90.00
_cell_angle_gamma 90.00
loop_
_symmetry_equiv_pos_as_xyz
'x,y,z'
'-x,-y,-z'
'-x,-y,z'
'x,y,-z'
'x+1/2,-y+1/2,-z'
'-x+1/2,y+1/2,z'
'-x+1/2,y+1/2,-z'
'x+1/2,-y+1/2,z'
loop_
_atom_site_label
_atom_site_type_symbol
_atom_site_fract_x
_atom_site_fract_y
_atom_site_fract_z
_atom_site_occupancy
Sm1 Sm 0.2469 0.1246 0.0000 1
Tl1 Tl 0.0000 0.0000 0.5000 1
Tl2 Tl 0.0039 0.7487 0.5000 1
Tl3 Tl 0.2441 0.3763 0.0000 1
In1 In 0.0000 0.5000 0.5000 1
```

=====

Material: Sm15Tl4In
Method: DFT, PBE
State: optimized geometry

**E_form**: -0.2111 eV/atom

The structure in CIF format:
```
data_Sm15Tl4In
_symmetry_space_group_name_H-M 'P 4/m m m'
_symmetry_Int_Tables_number 123
_symmetry_space_group_name_Hall '-P 4 2'
_cell_length_a 4.9339
_cell_length_b 4.9339
_cell_length_c 24.7679
_cell_angle_alpha 90.00
_cell_angle_beta 90.00
_cell_angle_gamma 90.00
loop_
_atom_site_label
_atom_site_type_symbol
_atom_site_fract_x
_atom_site_fract_y
_atom_site_fract_z
_atom_site_occupancy
Sm1 Sm 0.0000 0.0000 0.0000 1
Sm2 Sm 0.0000 0.0000 0.1999 1
Sm3 Sm 0.0000 0.0000 0.4001 1
Sm4 Sm 0.0000 0.5000 0.0994 1
Sm5 Sm 0.0000 0.5000 0.3000 1
Sm6 Sm 0.0000 0.5000 0.5000 1
Tl1 Tl 0.5000 0.5000 0.2001 1
Tl2 Tl 0.5000 0.5000 0.4000 1
In1 In 0.5000 0.5000 0.0000 1
```

=====

Material: Sm7Tl5In
Method: DFT, PBE
State: optimized geometry

**E_form**: -0.1927 eV/atom

The structure in CIF format:
```
data_Sm7Tl5In
_symmetry_space_group_name_H-M 'I m m 2'
_symmetry_Int_Tables_number 44
_cell_length_a 6.7407
_cell_length_b 10.8095
_cell_length_c 10.9465
_cell_angle_alpha 90.00
_cell_angle_beta 90.00
_cell_angle_gamma 90.00
loop_
_symmetry_equiv_pos_as_xyz
'x,y,z'
'-x,-y,z'
'-x,y,z'
'x,-y,z'
'x+1/2,y+1/2,z+1/2'
'-x+1/2,-y+1/2,z+1/2'
'-x+1/2,y+1/2,z+1/2'
'x+1/2,-y+1/2,z+1/2'
loop_
_atom_site_label
_atom_site_type_symbol
_atom_site_fract_x
_atom_site_fract_y
_atom_site_fract_z
_atom_site_occupancy
Sm1 Sm 0.0000 0.0000 0.0000 1
Sm2 Sm 0.0000 0.0000 0.3565 1
Sm3 Sm 0.0000 0.3192 0.7432 1
Sm4 Sm 0.0000 0.3253 0.2603 1
Sm5 Sm 0.0000 0.5000 0.0177 1
Tl1 Tl 0.0000 0.5000 0.5044 1
Tl2 Tl 0.2423 0.2371 0.4988 1
In1 In 0.0000 0.0000 0.6981 1
```

=====

Material: Sm4Tl3In
Method: DFT, PBE
State: optimized geometry

**Relative energy among the computed polymorphs**: 0.000 eV per atom
**E_form**: -0.4104 eV/atom

The structure in CIF format:
```
data_Sm4Tl3In
_symmetry_space_group_name_H-M 'P 4/m m m'
_symmetry_Int_Tables_number 123
_symmetry_space_group_name_Hall '-P 4 2'
_cell_length_a 3.8547
_cell_length_b 3.8547
_cell_length_c 15.4480
_cell_angle_alpha 90.00
_cell_angle_beta 90.00
_cell_angle_gamma 90.00
loop_
_atom_site_label
_atom_site_type_symbol
_atom_site_fract_x
_atom_site_fract_y
_atom_site_fract_z
_atom_site_occupancy
Sm1 Sm 0.0000 0.0000 0.1229 1
Sm2 Sm 0.0000 0.0000 0.3740 1
Tl1 Tl 0.5000 0.5000 0.2485 1
Tl2 Tl 0.5000 0.5000 0.5000 1
In1 In 0.5000 0.5000 0.0000 1
```

=====

Material: Sm6Tl6In
Method: DFT, PBE
State: optimized geometry

**E_form**: -0.2227 eV/atom

The structure in CIF format:
```
data_Sm6Tl6In
_symmetry_space_group_name_H-M 'P 6/m m m'
_symmetry_Int_Tables_number 191
_symmetry_space_group_name_Hall '-P 6 2'
_cell_length_a 6.5758
_cell_length_b 6.5758
_cell_length_c 10.6228
_cell_angle_alpha 90.00
_cell_angle_beta 90.00
_cell_angle_gamma 120.00
loop_
_atom_site_label
_atom_site_type_symbol
_atom_site_fract_x
_atom_site_fract_y
_atom_site_fract_z
_atom_site_occupancy
Sm1 Sm 0.0000 0.0000 0.1907 1
Sm2 Sm 0.3333 0.6667 0.0000 1
Sm3 Sm 0.3333 0.6667 0.5000 1
Tl1 Tl 0.0000 0.5000 0.2496 1
In1 In 0.0000 0.0000 0.5000 1
```

=====

Material: Sm8TlIn2
Method: DFT, PBE
State: optimized geometry

**Relative energy among the computed polymorphs**: 0.000 eV per atom
**E_form**: -0.2315 eV/atom

The structure in CIF format:
```
data_Sm8TlIn2
_symmetry_space_group_name_H-M 'C 1 2/m 1'
_symmetry_Int_Tables_number 12
_cell_length_a 17.3172
_cell_length_b 5.0373
_cell_length_c 8.2929
_cell_angle_alpha 90.00
_cell_angle_beta 112.00
_cell_angle_gamma 90.00
loop_
_symmetry_equiv_pos_as_xyz
'x,y,z'
'-x,-y,-z'
'-x,y,-z'
'x,-y,z'
'x+1/2,y+1/2,z'
'-x+1/2,-y+1/2,-z'
'-x+1/2,y+1/2,-z'
'x+1/2,-y+1/2,z'
loop_
_atom_site_label
_atom_site_type_symbol
_atom_site_fract_x
_atom_site_fract_y
_atom_site_fract_z
_atom_site_occupancy
Sm1 Sm 0.0570 0.0000 0.2247 1
Sm2 Sm 0.0963 0.5000 0.9518 1
Sm3 Sm 0.1409 0.0000 0.7011 1
Sm4 Sm 0.1797 0.5000 0.4402 1
Tl1 Tl 0.0000 0.5000 0.5000 1
In1 In 0.2255 0.0000 0.1428 1
```

=====

Material: Sm5TlIn4
Method: DFT, PBE
State: optimized geometry

**E_form**: -0.4695 eV/atom

The structure in CIF format:
```
data_Sm5TlIn4
_symmetry_space_group_name_H-M 'P 4/m m m'
_symmetry_Int_Tables_number 123
_symmetry_space_group_name_Hall '-P 4 2'
_cell_length_a 3.8338
_cell_length_b 3.8338
_cell_length_c 19.2258
_cell_angle_alpha 90.00
_cell_angle_beta 90.00
_cell_angle_gamma 90.00
loop_
_atom_site_label
_atom_site_type_symbol
_atom_site_fract_x
_atom_site_fract_y
_atom_site_fract_z
_atom_site_occupancy
Sm1 Sm 0.0000 0.0000 0.0000 1
Sm2 Sm 0.0000 0.0000 0.1985 1
Sm3 Sm 0.0000 0.0000 0.3979 1
Tl1 Tl 0.5000 0.5000 0.5000 1
In1 In 0.5000 0.5000 0.0993 1
In2 In 0.5000 0.5000 0.2983 1
```

=====

Material: Sm2TlIn3
Method: DFT, PBE
State: optimized geometry

**E_form**: -0.3778 eV/atom

The structure in CIF format:
```
data_Sm2TlIn3
_symmetry_space_group_name_H-M 'P m m 2'
_symmetry_Int_Tables_number 25
_cell_length_a 3.6587
_cell_length_b 5.0463
_cell_length_c 8.7078
_cell_angle_alpha 90.00
_cell_angle_beta 90.00
_cell_angle_gamma 90.00
loop_
_symmetry_equiv_pos_as_xyz
'x,y,z'
'-x,-y,z'
'-x,y,z'
'x,-y,z'
loop_
_atom_site_label
_atom_site_type_symbol
_atom_site_fract_x
_atom_site_fract_y
_atom_site_fract_z
_atom_site_occupancy
Sm1 Sm 0.0000 0.0000 0.0000 1
Sm2 Sm 0.0000 0.5000 0.4980 1
Tl1 Tl 0.5000 0.5000 0.8338 1
In1 In 0.5000 0.0000 0.3307 1
In2 In 0.5000 0.0000 0.6623 1
In3 In 0.5000 0.5000 0.1693 1
```

=====

Material: Sm6TlIn6
Method: DFT, PBE
State: optimized geometry

**E_form**: -0.3246 eV/atom

The structure in CIF format:
```
data_Sm6TlIn6
_symmetry_space_group_name_H-M 'P 6/m m m'
_symmetry_Int_Tables_number 191
_symmetry_space_group_name_Hall '-P 6 2'
_cell_length_a 6.4461
_cell_length_b 6.4461
_cell_length_c 10.7519
_cell_angle_alpha 90.00
_cell_angle_beta 90.00
_cell_angle_gamma 120.00
loop_
_atom_site_label
_atom_site_type_symbol
_atom_site_fract_x
_atom_site_fract_y
_atom_site_fract_z
_atom_site_occupancy
Sm1 Sm 0.0000 0.0000 0.1905 1
Sm2 Sm 0.3333 0.6667 0.0000 1
Sm3 Sm 0.3333 0.6667 0.5000 1
Tl1 Tl 0.0000 0.0000 0.5000 1
In1 In 0.0000 0.5000 0.2491 1
```

=====

| no. | energy (Ry per atom) | density (g/cm3) |
| --- | --- | --- |
| 1 | -0.2489 | 10.31 |
| 2 | -0.2431 | 10.90 |
| 3 | -0.3205 | 8.78 |
| 4 | -0.2833 | 9.12 |
| 5 | -0.2940 | 9.62 |
| 6 | -0.2722 | 9.37 |
| 7 | -0.3217 | 8.11 |
| 8 | -0.3058 | 8.32 |
| 9 | -0.2730 | 8.77 |
| 10 | -0.2902 | 7.71 |